# 1
First-principles (GGA-PBE) data for a geometry-optimized Tm2AlGa3Cu12 structure, as listed in Alexandria via LeMat-Bulk.

Structure (CIF):
```
data_Tm2AlGa3Cu12
_space_group_name_H-M_alt 'R -3 m'
_space_group_IT_number 166
_space_group_name_Hall '-R 3 2"'
_cell_length_a 8.7032
_cell_length_b 8.7032
_cell_length_c 12.4141
_cell_angle_alpha 90.00
_cell_angle_beta 90.00
_cell_angle_gamma 120.00
loop_
_atom_site_label
_atom_site_fract_x
_atom_site_fract_y
_atom_site_fract_z
Tm1 0.0000 0.0000 0.1962
Al1 0.0000 0.0000 0.5000
Ga1 0.0000 0.5000 0.0000
Cu1 0.0159 0.5080 0.2057
Cu2 0.0257 0.5128 0.6011
```

Calculated values
**Formation energy from the elements**: -0.035 eV per atom
**Crystal system**: trigonal

---

# 2
First-principles (GGA-PBE) data for a geometry-optimized La2FeRu2 structure, as listed in Alexandria via LeMat-Bulk.

Structure (CIF):
```
data_La2FeRu2
_space_group_name_H-M_alt 'P 4/m b m'
_space_group_IT_number 127
_space_group_name_Hall '-P 4 2ab'
_cell_length_a 8.072
_cell_length_b 8.072
_cell_length_c 3.315
_cell_angle_alpha 90.00
_cell_angle_beta 90.00
_cell_angle_gamma 90.00
loop_
_atom_site_label
_atom_site_fract_x
_atom_site_fract_y
_atom_site_fract_z
La1 0.161 0.339 0.000
Fe1 0.000 0.000 0.000
Ru1 0.138 0.638 0.500
```

Calculated values
**Formation energy from the elements**: 0.570 eV per atom
**Crystal system**: tetragonal

---

# 3
First-principles (GGA-PBE) data for a geometry-optimized Ta2MoSe structure, as listed in Alexandria via LeMat-Bulk.

Structure (CIF):
```
data_Ta2MoSe
_space_group_name_H-M_alt 'P 4 m m'
_space_group_IT_number 99
_cell_length_a 2.969
_cell_length_b 2.969
_cell_length_c 7.882
_cell_angle_alpha 90.00
_cell_angle_beta 90.00
_cell_angle_gamma 90.00
loop_
_space_group_symop_operation_xyz
'x,y,z'
'-y,x,z'
'-x,-y,z'
'y,-x,z'
'-x,y,z'
'y,x,z'
'x,-y,z'
'-y,-x,z'
loop_
_atom_site_label
_atom_site_fract_x
_atom_site_fract_y
_atom_site_fract_z
Ta1 0.000 0.000 0.000
Ta2 0.500 0.500 0.285
Mo1 0.000 0.000 0.560
Se1 0.500 0.500 0.755
```

Calculated values
**Formation energy from raw total energies**: 0.74 eV per formula unit
**Crystal system**: tetragonal

---

no.,volume (Å³/cell),energy (eV per formula unit)
1,814.3,-71.555
2,216.0,-34.021
3,69.5,-37.280